Material: Sc8P3CSe4
Method: DFT, PBE-GGA
State: optimized geometry

Summary:
Crystal system: trigonal
Formation energy from raw total energies, kJ/mol of formula units: -2326
E_tot, eV per atom: -7.13
D(E_F), states/eV per cell: 4.77
V, A^3/atom: 18.94
Space group: R-3m

Unit cell a=7.4774 b=7.6041 c=7.4774 alpha=119.45 beta=120.00 gamma=90.00
Positions (direct):
Sc: 0.2257 0.7133 0.9876
Sc: 0.2258 0.7134 0.4517
Sc: 0.2578 0.2733 0.5155
Sc: 0.7618 0.7133 0.9876
Sc: 0.2382 0.2867 0.0124
Sc: 0.7422 0.7267 0.4845
Sc: 0.7742 0.2866 0.5483
Sc: 0.7743 0.2867 0.0124
P: 0.5000 0.5000 0.0000
P: 0.5000 0.5000 0.5000
P: 0.0000 0.5000 0.5000
C: 0.0000 0.5000 0.0000
Se: 0.5000 0.0000 0.0000
Se: 0.5000 0.0000 0.5000
Se: 0.0000 0.0000 0.0000
Se: 0.0000 0.0000 0.5000



Material: ScSiP2C
Method: DFT, PBE-GGA
State: optimized geometry

Summary:
Crystal system: tetragonal
Formation energy from raw total energies, kJ/mol of formula units: 943
E_tot, eV per atom: -4.41
D(E_F), states/eV per cell: 4.11
V, A^3/atom: 24.26
Space group: P4/mmm

Unit cell a=4.8612 b=5.1335 c=4.8612 alpha=90.00 beta=90.00 gamma=90.00
Positions (direct):
Sc: 0.0000 0.0000 0.0000
P: 0.0000 0.0000 0.5000
P: 0.5000 0.0000 0.0000
Si: 0.0000 0.5000 0.0000
C: 0.5000 0.5000 0.5000



Material: Sc2SiPC
Method: DFT, PBE-GGA
State: optimized geometry

Summary:
Crystal system: tetragonal
Formation energy from raw total energies, kJ/mol of formula units: 122
E_tot, eV per atom: -6.29
D(E_F), states/eV per cell: 4.46
V, A^3/atom: 17.75
Space group: P4/mmm

Unit cell a=5.0492 b=5.0492 c=3.4809 alpha=90.00 beta=90.00 gamma=90.00
Positions (direct):
Sc: 0.0000 0.5000 0.0000
Sc: 0.5000 0.0000 0.0000
P: 0.0000 0.0000 0.0000
Si: 0.5000 0.5000 0.5000
C: 0.0000 0.0000 0.5000



- Number 1 is which compound?
  Sc8P3CSe4